Entry i
Below is crystalline TbNdTh at its relaxed geometry, with properties calculated at the PBE-GGA level.

Values from the calculation:
N(E_F) = 1.325 states/eV/atom
crystal system = tetragonal
total magnetic moment = 0.00 μB per formula unit

a b c (Å): 3.619 3.619 8.033
angles (deg): 103.02 103.02 90.00
Sites, in units of the cell vectors:
Tb 0.675 0.675 0.350
Nd 0.993 0.993 0.987
Th 0.332 0.332 0.663

Entry ii
Below is crystalline TbNdTh at its relaxed geometry, with properties calculated at the PBE-GGA level.

Values from the calculation:
N(E_F) = 1.592 states/eV/atom
crystal system = triclinic
total magnetic moment = 0.00 μB per formula unit

a b c (Å): 10.184 7.177 10.845
angles (deg): 59.89 135.19 134.80
Sites, in units of the cell vectors:
Tb 0.744 0.254 0.157
Tb 0.244 0.754 0.157
Tb 0.756 0.246 0.843
Tb 0.256 0.746 0.843
Nd 0.750 0.250 0.500
Nd 0.250 0.250 0.500
Nd 0.750 0.750 0.500
Nd 0.250 0.750 0.500
Th 0.755 0.754 0.839
Th 0.745 0.746 0.161
Th 0.255 0.254 0.839
Th 0.245 0.246 0.161

Of them, the most stable is entry i and the least stable is entry ii.

Entry i
Below is crystalline Tb4Nd2Th at its relaxed geometry, with properties calculated at the PBE-GGA level.

Values from the calculation:
N(E_F) = 1.711 states/eV/atom
crystal system = monoclinic
total magnetic moment = 0.00 μB per formula unit

a b c (Å): 3.616 3.623 20.515
angles (deg): 95.20 90.00 119.94
Sites, in units of the cell vectors:
Tb 0.905 0.810 0.949
Tb 0.431 0.862 0.526
Tb 0.000 0.000 0.239
Tb 0.524 0.048 0.809
Nd 0.624 0.247 0.095
Nd 0.712 0.424 0.382
Th 0.806 0.611 0.668

Entry ii
Below is crystalline Tb4Nd2Th at its relaxed geometry, with properties calculated at the PBE-GGA level.

Values from the calculation:
N(E_F) = 1.280 states/eV/atom
crystal system = tetragonal
total magnetic moment = 0.00 μB per formula unit

a b c (Å): 5.730 5.730 9.411
angles (deg): 107.72 107.72 90.00
Sites, in units of the cell vectors:
Tb 0.820 0.820 0.639
Tb 0.180 0.180 0.361
Tb 0.000 0.500 0.000
Tb 0.500 0.000 0.000
Nd 0.616 0.616 0.231
Nd 0.384 0.384 0.769
Th 0.000 0.000 0.000

Of them, the most stable is entry i and the least stable is entry ii.

Entry i
Below is crystalline Tb4Nd3Th at its relaxed geometry, with properties calculated at the PBE-GGA level.

Values from the calculation:
N(E_F) = 1.834 states/eV/atom
crystal system = orthorhombic
total magnetic moment = 0.00 μB per formula unit

a b c (Å): 6.314 7.276 11.684
angles (deg): 90.00 90.00 90.00
Sites, in units of the cell vectors:
Tb 0.147 0.877 0.000
Tb 0.650 0.129 0.000
Tb 0.986 0.126 0.248
Tb 0.486 0.874 0.252
Tb 0.150 0.871 0.500
Tb 0.647 0.123 0.500
Tb 0.486 0.874 0.748
Tb 0.986 0.126 0.752
Nd 0.645 0.621 0.000
Nd 0.975 0.623 0.248
Nd 0.475 0.377 0.252
Nd 0.145 0.379 0.500
Nd 0.475 0.377 0.748
Nd 0.975 0.623 0.752
Th 0.151 0.372 0.000
Th 0.651 0.628 0.500

Entry ii
Below is crystalline Tb4Nd3Th at its relaxed geometry, with properties calculated at the PBE-GGA level.

Values from the calculation:
N(E_F) = 1.480 states/eV/atom
crystal system = orthorhombic
total magnetic moment = 0.00 μB per formula unit

a b c (Å): 3.455 9.003 9.003
angles (deg): 81.28 78.94 78.94
Sites, in units of the cell vectors:
Nd 0.769 0.231 0.231
Nd 0.231 0.769 0.769
Nd 0.000 0.500 0.500
Tb 0.633 0.119 0.615
Tb 0.367 0.881 0.385
Tb 0.367 0.385 0.881
Tb 0.633 0.615 0.119
Th 0.500 0.000 0.000

Of them, the most stable is entry i and the least stable is entry ii.

Entry i
Below is crystalline Tb7Nd4Th at its relaxed geometry, with properties calculated at the PBE-GGA level.

Values from the calculation:
N(E_F) = 1.482 states/eV/atom
crystal system = monoclinic
total magnetic moment = 0.00 μB per formula unit

a b c (Å): 6.006 11.713 6.794
angles (deg): 83.80 63.77 75.15
Sites, in units of the cell vectors:
Tb 0.787 0.924 0.503
Tb 0.213 0.076 0.497
Tb 0.066 0.683 0.186
Tb 0.934 0.317 0.814
Tb 0.369 0.497 0.766
Tb 0.500 0.000 0.000
Tb 0.631 0.503 0.234
Nd 0.639 0.223 0.500
Nd 0.361 0.777 0.500
Nd 0.768 0.671 0.792
Nd 0.232 0.329 0.208
Th 0.000 0.000 0.000

Entry ii
Below is crystalline Tb7Nd4Th at its relaxed geometry, with properties calculated at the PBE-GGA level.

Values from the calculation:
N(E_F) = 1.329 states/eV/atom
crystal system = triclinic
total magnetic moment = 0.00 μB per formula unit

a b c (Å): 7.186 8.052 8.056
angles (deg): 84.13 102.54 63.53
Sites, in units of the cell vectors:
Tb 0.752 0.495 0.000
Tb 0.248 0.505 0.000
Tb 0.001 0.329 0.671
Tb 0.999 0.671 0.329
Tb 0.246 0.836 0.672
Tb 0.500 0.000 0.000
Tb 0.754 0.164 0.328
Nd 0.494 0.671 0.331
Nd 0.506 0.329 0.669
Nd 0.755 0.834 0.672
Nd 0.245 0.166 0.328
Th 0.000 0.000 0.000

Of them, the most stable is entry ii and the least stable is entry i.

Entry i
Below is crystalline Tb6NdTh at its relaxed geometry, with properties calculated at the PBE-GGA level.

Values from the calculation:
N(E_F) = 1.299 states/eV/atom
crystal system = tetragonal
total magnetic moment = 0.00 μB per formula unit

a b c (Å): 5.060 5.060 10.095
angles (deg): 90.00 90.00 90.00
Sites, in units of the cell vectors:
Tb 0.500 0.500 0.000
Tb 0.500 0.500 0.500
Tb 0.500 0.000 0.254
Tb 0.500 0.000 0.746
Tb 0.000 0.500 0.254
Tb 0.000 0.500 0.746
Nd 0.000 0.000 0.000
Th 0.000 0.000 0.500

Entry ii
Below is crystalline Tb6NdTh at its relaxed geometry, with properties calculated at the PBE-GGA level.

Values from the calculation:
N(E_F) = 1.790 states/eV/atom
crystal system = triclinic
total magnetic moment = 0.00 μB per formula unit

a b c (Å): 6.766 6.573 6.989
angles (deg): 78.91 59.85 90.43
Sites, in units of the cell vectors:
Tb 0.093 0.767 0.481
Tb 0.571 0.728 0.521
Tb 0.429 0.272 0.479
Tb 0.907 0.233 0.519
Tb 0.545 0.746 0.997
Tb 0.455 0.254 0.003
Nd 0.000 0.000 0.000
Th 0.000 0.500 0.000

Of them, the most stable is entry i and the least stable is entry ii.

Entry i
Below is crystalline Tb4Nd5Th2 at its relaxed geometry, with properties calculated at the PBE-GGA level.

Values from the calculation:
N(E_F) = 1.301 states/eV/atom
crystal system = orthorhombic
total magnetic moment = 0.00 μB per formula unit

a b c (Å): 3.517 11.581 11.119
angles (deg): 121.39 99.10 90.00
Sites, in units of the cell vectors:
Tb 0.000 0.272 0.000
Tb 0.588 0.588 0.176
Tb 0.000 0.728 0.000
Tb 0.412 0.412 0.824
Nd 0.823 0.112 0.647
Nd 0.823 0.534 0.647
Nd 0.177 0.466 0.353
Nd 0.177 0.888 0.353
Nd 0.500 0.000 0.000
Th 0.203 0.203 0.406
Th 0.797 0.797 0.594

Entry ii
Below is crystalline Tb4Nd5Th2 at its relaxed geometry, with properties calculated at the PBE-GGA level.

Values from the calculation:
N(E_F) = 1.738 states/eV/atom
crystal system = monoclinic
total magnetic moment = 0.00 μB per formula unit

a b c (Å): 3.522 8.946 11.917
angles (deg): 85.65 90.00 90.00
Sites, in units of the cell vectors:
Tb 0.500 0.303 0.546
Tb 0.500 0.841 0.892
Tb 0.500 0.697 0.454
Tb 0.500 0.159 0.108
Nd 0.000 0.424 0.290
Nd 0.000 0.807 0.164
Nd 0.000 0.500 0.000
Nd 0.000 0.193 0.836
Nd 0.000 0.576 0.710
Th 0.000 0.960 0.632
Th 0.000 0.040 0.368

Of them, the most stable is entry ii and the least stable is entry i.

Entry i
Below is crystalline Tb5Nd4Th2 at its relaxed geometry, with properties calculated at the PBE-GGA level.

Values from the calculation:
N(E_F) = 1.250 states/eV/atom
crystal system = orthorhombic
total magnetic moment = 0.00 μB per formula unit

a b c (Å): 3.515 11.637 11.047
angles (deg): 121.78 99.15 90.00
Sites, in units of the cell vectors:
Tb 0.820 0.111 0.640
Tb 0.820 0.529 0.640
Tb 0.180 0.471 0.360
Tb 0.180 0.889 0.360
Tb 0.500 0.000 0.000
Nd 0.000 0.263 0.000
Nd 0.591 0.591 0.181
Nd 0.000 0.737 0.000
Nd 0.409 0.409 0.819
Th 0.201 0.201 0.402
Th 0.799 0.799 0.598

Entry ii
Below is crystalline Tb5Nd4Th2 at its relaxed geometry, with properties calculated at the PBE-GGA level.

Values from the calculation:
N(E_F) = 1.344 states/eV/atom
crystal system = triclinic
total magnetic moment = 0.00 μB per formula unit

a b c (Å): 3.611 9.548 15.311
angles (deg): 79.68 135.04 100.77
Sites, in units of the cell vectors:
Tb 0.691 0.548 0.639
Tb 0.309 0.452 0.361
Tb 0.147 0.904 0.732
Tb 0.500 0.000 0.000
Tb 0.853 0.096 0.268
Nd 0.223 0.178 0.545
Nd 0.388 0.722 0.175
Nd 0.777 0.822 0.455
Nd 0.612 0.278 0.825
Th 0.039 0.633 0.907
Th 0.961 0.367 0.093

Of them, the most stable is entry ii and the least stable is entry i.

Entry i
Below is crystalline Tb3NdTh at its relaxed geometry, with properties calculated at the PBE-GGA level.

Values from the calculation:
N(E_F) = 1.343 states/eV/atom
crystal system = monoclinic
total magnetic moment = 0.00 μB per formula unit

a b c (Å): 3.552 8.793 11.057
angles (deg): 107.67 90.00 90.00
Sites, in units of the cell vectors:
Tb 0.750 0.496 0.243
Tb 0.250 0.117 0.148
Tb 0.750 0.909 0.347
Tb 0.250 0.504 0.757
Tb 0.250 0.091 0.653
Tb 0.750 0.883 0.852
Nd 0.750 0.311 0.470
Nd 0.250 0.689 0.530
Th 0.250 0.688 0.067
Th 0.750 0.312 0.933

Entry ii
Below is crystalline Tb3NdTh at its relaxed geometry, with properties calculated at the PBE-GGA level.

Values from the calculation:
N(E_F) = 1.291 states/eV/atom
crystal system = orthorhombic
total magnetic moment = 0.00 μB per formula unit

a b c (Å): 5.362 6.261 11.053
angles (deg): 89.99 89.97 64.65
Sites, in units of the cell vectors:
Tb 0.000 0.000 0.325
Tb 0.000 0.000 0.675
Tb 0.348 0.303 0.193
Tb 0.349 0.303 0.807
Tb 0.652 0.697 0.807
Tb 0.651 0.697 0.193
Nd 0.346 0.307 0.500
Nd 0.654 0.693 0.500
Th 0.135 0.729 0.000
Th 0.865 0.271 0.000

Of them, the most stable is entry i and the least stable is entry ii.

Entry i
Below is crystalline Tb7NdTh3 at its relaxed geometry, with properties calculated at the PBE-GGA level.

Values from the calculation:
N(E_F) = 1.404 states/eV/atom
crystal system = trigonal
total magnetic moment = 0.00 μB per formula unit

a b c (Å): 8.607 7.098 7.098
angles (deg): 120.00 90.00 90.00
Sites, in units of the cell vectors:
Tb 0.112 0.168 0.832
Tb 0.112 0.168 0.335
Tb 0.111 0.667 0.333
Tb 0.453 0.832 0.168
Tb 0.453 0.337 0.168
Tb 0.453 0.832 0.663
Tb 0.112 0.665 0.832
Nd 0.457 0.333 0.667
Th 0.784 0.501 0.499
Th 0.784 0.501 0.002
Th 0.784 0.998 0.499

Entry ii
Below is crystalline Tb7NdTh3 at its relaxed geometry, with properties calculated at the PBE-GGA level.

Values from the calculation:
N(E_F) = 1.567 states/eV/atom
crystal system = triclinic
total magnetic moment = 0.00 μB per formula unit

a b c (Å): 6.723 6.465 8.697
angles (deg): 82.74 101.26 83.27
Sites, in units of the cell vectors:
Tb 0.231 0.292 0.204
Tb 0.267 0.992 0.576
Tb 0.716 0.428 0.143
Tb 0.284 0.572 0.857
Tb 0.000 0.500 0.500
Tb 0.733 0.008 0.424
Tb 0.769 0.708 0.796
Nd 0.500 0.500 0.500
Th 0.050 0.825 0.163
Th 0.500 0.000 0.000
Th 0.950 0.175 0.837

Of them, the most stable is entry ii and the least stable is entry i.

Entry i
Below is crystalline Tb2Nd8Th at its relaxed geometry, with properties calculated at the PBE-GGA level.

Values from the calculation:
N(E_F) = 1.681 states/eV/atom
crystal system = monoclinic
total magnetic moment = 0.00 μB per formula unit

a b c (Å): 6.839 10.388 10.388
angles (deg): 38.04 59.40 59.40
Sites, in units of the cell vectors:
Tb 0.407 0.198 0.198
Tb 0.593 0.802 0.802
Nd 0.765 0.177 0.649
Nd 0.235 0.351 0.823
Nd 0.827 0.241 0.241
Nd 0.173 0.759 0.759
Nd 0.765 0.649 0.177
Nd 0.235 0.823 0.351
Nd 0.267 0.406 0.406
Nd 0.733 0.594 0.594
Th 0.000 0.000 0.000

Entry ii
Below is crystalline Tb2Nd8Th at its relaxed geometry, with properties calculated at the PBE-GGA level.

Values from the calculation:
N(E_F) = 1.616 states/eV/atom
crystal system = orthorhombic
total magnetic moment = 0.00 μB per formula unit

a b c (Å): 5.465 8.612 8.612
angles (deg): 105.36 90.03 90.03
Sites, in units of the cell vectors:
Tb 0.000 0.620 0.380
Tb 0.000 0.380 0.620
Nd 0.000 0.965 0.704
Nd 0.000 0.704 0.965
Nd 0.500 0.668 0.668
Nd 0.500 0.251 0.749
Nd 0.500 0.749 0.251
Nd 0.500 0.332 0.332
Nd 0.000 0.296 0.035
Nd 0.000 0.035 0.296
Th 0.500 0.000 0.000

Of them, the most stable is entry ii and the least stable is entry i.

Entry i
Below is crystalline Tb2Nd4Th at its relaxed geometry, with properties calculated at the PBE-GGA level.

Values from the calculation:
N(E_F) = 1.721 states/eV/atom
crystal system = orthorhombic
total magnetic moment = 0.00 μB per formula unit

a b c (Å): 6.802 9.117 9.117
angles (deg): 79.61 68.10 68.10
Sites, in units of the cell vectors:
Tb 0.278 0.972 0.472
Tb 0.500 0.000 0.000
Tb 0.500 0.500 0.500
Tb 0.722 0.028 0.528
Nd 0.152 0.351 0.344
Nd 0.152 0.844 0.851
Nd 0.236 0.238 0.738
Nd 0.787 0.238 0.738
Nd 0.213 0.762 0.262
Nd 0.848 0.156 0.149
Nd 0.764 0.762 0.262
Nd 0.848 0.649 0.656
Th 0.000 0.500 0.000
Th 0.500 0.500 0.000

Entry ii
Below is crystalline Tb2Nd4Th at its relaxed geometry, with properties calculated at the PBE-GGA level.

Values from the calculation:
N(E_F) = 1.581 states/eV/atom
crystal system = monoclinic
total magnetic moment = 0.00 μB per formula unit

a b c (Å): 3.644 3.642 20.819
angles (deg): 95.09 90.00 120.02
Sites, in units of the cell vectors:
Tb 0.615 0.231 0.097
Tb 0.711 0.422 0.380
Nd 0.908 0.817 0.957
Nd 0.430 0.860 0.522
Nd 0.999 0.998 0.239
Nd 0.524 0.048 0.808
Th 0.813 0.627 0.666

Of them, the most stable is entry ii and the least stable is entry i.